TbPu2NbN4 | GGA-PBE | relaxed

Summary:
E in eV/atom: -10.895
Formation energy (no corrections) in eV per atom: -1.312
DOS(E_F) in states/eV/atom: 1.659

abc: 5.8209 3.3803 5.8808
angles: 90.00 109.36 90.00
Space group P2/m (No. 10)
One atom of each set of equivalent atoms:
Tb 0.0000 0.0000 0.0000 [1 per cell]
Pu 0.5000 0.0000 0.5000 [1 per cell]
Pu 0.5000 0.5000 0.0000 [1 per cell]
Nb 0.0000 0.5000 0.5000 [1 per cell]
N 0.2372 0.0000 0.7304 [2 per cell]
N 0.2458 0.5000 0.2669 [2 per cell]

---

Pu2NbTcN5 | GGA-PBE | relaxed

Summary:
E in eV/atom: -10.969
Formation energy (no corrections) in eV per atom: -0.889
DOS(E_F) in states/eV/atom: 1.256

abc: 3.2247 13.0117 10.2564
angles: 90.00 90.00 90.00
Space group Cmc2_1 (No. 36)
One atom of each set of equivalent atoms:
Pu 0.0000 0.1038 0.0000 [4 per cell]
Pu 0.0000 0.1494 0.6141 [4 per cell]
Nb 0.0000 0.2067 0.3232 [4 per cell]
Tc 0.0000 0.4740 0.7700 [4 per cell]
N 0.0000 0.0509 0.3863 [4 per cell]
N 0.0000 0.2798 0.9685 [4 per cell]
N 0.0000 0.3212 0.6788 [4 per cell]
N 0.0000 0.3674 0.3081 [4 per cell]
N 0.0000 0.4843 0.0898 [4 per cell]

---

Pu2ThNbN4 | GGA-PBE | relaxed

Summary:
E in eV/atom: -11.174
Formation energy (no corrections) in eV per atom: -1.242
DOS(E_F) in states/eV/atom: 1.436

abc: 5.8510 3.4311 6.0193
angles: 90.00 109.08 90.00
Space group P2/m (No. 10)
One atom of each set of equivalent atoms:
Pu 0.0000 0.0000 0.0000 [1 per cell]
Pu 0.0000 0.5000 0.5000 [1 per cell]
Th 0.5000 0.0000 0.5000 [1 per cell]
Nb 0.5000 0.5000 0.0000 [1 per cell]
N 0.2547 0.5000 0.2200 [2 per cell]
N 0.2670 0.0000 0.7783 [2 per cell]

---

Pu3Th2NbN6 | GGA-PBE | relaxed

Summary:
E in eV/atom: -11.128
Formation energy (no corrections) in eV per atom: -1.306
DOS(E_F) in states/eV/atom: 1.475

abc: 6.0530 10.4981 5.9714
angles: 90.00 109.60 90.00
Space group C2/m (No. 12)
One atom of each set of equivalent atoms:
Pu 0.0000 0.0000 0.0000 [2 per cell]
Pu 0.0000 0.3362 0.0000 [4 per cell]
Th 0.0000 0.1669 0.5000 [4 per cell]
Nb 0.0000 0.5000 0.5000 [2 per cell]
N 0.2301 0.5000 0.2464 [4 per cell]
N 0.2396 0.3437 0.7508 [8 per cell]

---

Q: Which formula does entry 3 have?
A: Pu2ThNbN4

---

Q: Number 2 is which compound?
A: Pu2NbTcN5

---

Repeat the second record exactly.
Pu2NbTcN5 | GGA-PBE | relaxed

Summary:
E in eV/atom: -10.969
Formation energy (no corrections) in eV per atom: -0.889
DOS(E_F) in states/eV/atom: 1.256

abc: 3.2247 13.0117 10.2564
angles: 90.00 90.00 90.00
Space group Cmc2_1 (No. 36)
One atom of each set of equivalent atoms:
Pu 0.0000 0.1038 0.0000 [4 per cell]
Pu 0.0000 0.1494 0.6141 [4 per cell]
Nb 0.0000 0.2067 0.3232 [4 per cell]
Tc 0.0000 0.4740 0.7700 [4 per cell]
N 0.0000 0.0509 0.3863 [4 per cell]
N 0.0000 0.2798 0.9685 [4 per cell]
N 0.0000 0.3212 0.6788 [4 per cell]
N 0.0000 0.3674 0.3081 [4 per cell]
N 0.0000 0.4843 0.0898 [4 per cell]

---

Q: The lowest E belongs to which entry?
A: Pu2ThNbN4